This record from the Alexandria database describes a relaxed BaAg8Te6 crystal. The functional is PBE.

Output
raw formation energy	-0.24	eV/atom
DOS(E_F)	0.5311	states/eV/atom
space-group type	R-3
V	447.04	Å³/cell
magnetic moment	0.0	μB/cell

Cell: 7.7721 7.7721 9.6521 Å, 66.26 66.26 60.00°
Closest atoms and distances in Å follow each position.
Positions (direct):
1 Ag 0.8326 0.1209 0.4180  3 Te 2.85-2.88, 4 Ag 2.97-3.17
2 Te 0.5410 0.2558 0.2490  4 Ag 2.78-2.88
3 Te 0.4590 0.7442 0.7510  4 Ag 2.78-2.88
4 Ag 0.5629 0.5629 0.3114  3 Te 2.78, 3 Ag 2.99
5 Ba 0.0000 0.0000 0.0000  6 Te 3.51
6 Ag 0.4371 0.4371 0.6886  3 Te 2.78, 3 Ag 2.99
7 Ag 0.1674 0.8791 0.5820  3 Te 2.85-2.88, 4 Ag 2.97-3.17
8 Te 0.7442 0.0458 0.7510  4 Ag 2.78-2.88
9 Te 0.2558 0.9542 0.2490  4 Ag 2.78-2.88
10 Ag 0.3716 0.1674 0.5820  3 Te 2.85-2.88, 4 Ag 2.97-3.17
11 Ag 0.6284 0.8326 0.4180  3 Te 2.85-2.88, 4 Ag 2.97-3.17
12 Te 0.9542 0.5410 0.2490  4 Ag 2.78-2.88
13 Ag 0.8791 0.3716 0.5820  3 Te 2.85-2.88, 4 Ag 2.97-3.17
14 Te 0.0458 0.4590 0.7510  4 Ag 2.78-2.88
15 Ag 0.1209 0.6284 0.4180  3 Te 2.85-2.88, 4 Ag 2.97-3.17

***

This record from the Alexandria database describes a relaxed MnAg2HOs crystal. The functional is PBE.

Output
DOS(E_F)	0.7942	states/eV/atom
calculated total energy	-20.77	eV for the cell shown
space-group type	P4/mmm
V	120.80	Å³/cell
magnetic moment	3.5	μB/cell

Cell: 5.2139 4.4438 5.2139 Å, 90.00 90.00 90.00°
Closest atoms and distances in Å follow each position.
Positions (direct):
1 H 0.5000 0.5000 0.5000  8 Ag 3.43, 4 Mn 3.69
2 Ag 0.0000 0.0000 0.5000  2 Os 2.61
3 Ag 0.5000 0.0000 0.0000  2 Os 2.61
4 Os 0.0000 0.0000 0.0000  2 Mn 2.22
5 Mn 0.0000 0.5000 0.0000  2 Os 2.22

***

This record from the Alexandria database describes a relaxed Ni2Hg2Ge crystal. The functional is PBE.

Output
DOS(E_F)	0.7676	states/eV/atom
ΔE to the lowest computed polymorph	9.22	kcal/mol of atoms
space-group type	I4/mmm
V	94.18	Å³/cell
E_form	0.4992	eV/atom
magnetic moment	0.0	μB/cell

Cell: 3.9938 3.9938 6.5453 Å, 72.24 72.24 90.00°
Closest atoms and distances in Å follow each position.
Positions (direct):
1 Hg 0.2500 0.7500 0.5000  4 Ni 2.71, 4 Hg 2.82
2 Ge 0.0000 0.0000 0.0000  8 Ni 3.04
3 Ni 0.4046 0.4046 0.1907  1 Ni 2.25
4 Ni 0.5954 0.5954 0.8093  1 Ni 2.25
5 Hg 0.7500 0.2500 0.5000  4 Ni 2.71, 4 Hg 2.82

***

This record from the Alexandria database describes a relaxed DyErRhAu crystal. The functional is PBE.

Output
DOS(E_F)	1.1033	states/eV/atom
ΔE to the lowest computed polymorph	0.00	kcal/mol of atoms
space-group type	P4mm
V	85.71	Å³/cell
E_form	-0.8733	eV/atom
magnetic moment	0.0	μB/cell

Cell: 3.5160 3.5160 6.9332 Å, 90.00 90.00 90.00°
Closest atoms and distances in Å follow each position.
Positions (direct):
1 Au 0.5000 0.5000 0.1111  4 Er 3.06, 4 Dy 3.10, 1 Rh 3.42
2 Dy 0.0000 0.0000 0.8437  4 Rh 2.99, 4 Au 3.10, 1 Er 3.29
3 Er 0.0000 0.0000 0.3692  4 Rh 2.97, 4 Au 3.06, 1 Dy 3.29
4 Rh 0.5000 0.5000 0.6039  4 Er 2.97, 4 Dy 2.99

***

This record from the Alexandria database describes a relaxed LiAlCu2N crystal. The functional is PBE.

Output
raw formation energy	0.10	eV/atom
DOS(E_F)	0.3084	states/eV/atom
space-group type	P4/mmm
V	62.82	Å³/cell
magnetic moment	0.0	μB/cell

Cell: 4.0433 3.8423 4.0433 Å, 90.00 90.00 90.00°
Closest atoms and distances in Å follow each position.
Positions (direct):
1 Cu 0.0000 0.0000 0.5000  2 N 2.02
2 Cu 0.5000 0.0000 0.0000  2 N 2.02
3 N 0.0000 0.0000 0.0000  2 Al 1.92, 4 Cu 2.02
4 Al 0.0000 0.5000 0.0000  2 N 1.92
5 Li 0.5000 0.5000 0.5000  8 Cu 2.79, 4 Al 2.86

***

This record from the Alexandria database describes a relaxed SrV2Mo crystal. The functional is PBE.

Output
DOS(E_F)	1.3267	states/eV/atom
ΔE to the lowest computed polymorph	0.00	kcal/mol of atoms
space-group type	Fm-3m
V	76.86	Å³/cell
E_form	0.9783	eV/atom
magnetic moment	3.7	μB/cell

Cell: 4.7724 4.7724 4.7724 Å, 60.00 60.00 60.00°
Closest atoms and distances in Å follow each position.
Positions (direct):
1 V 0.2500 0.2500 0.2500  4 Sr 2.92, 4 Mo 2.92
2 Mo 0.5000 0.5000 0.5000  8 V 2.92
3 V 0.7500 0.7500 0.7500  4 Mo 2.92, 4 Sr 2.92
4 Sr 0.0000 0.0000 0.0000  8 V 2.92

***

This record from the Alexandria database describes a relaxed SmPaInO6 crystal. The functional is PBE.

Output
raw formation energy	-2.61	eV/atom
DOS(E_F)	0.9223	states/eV/atom
space-group type	P312
V	135.19	Å³/cell
magnetic moment	0.6	μB/cell

Cell: 4.8114 5.6959 5.6959 Å, 120.00 90.00 90.00°
Closest atoms and distances in Å follow each position.
Positions (direct):
1 O 0.7462 0.0233 0.3393  1 Pa 2.19, 1 In 2.21, 1 Sm 2.34
2 O 0.2538 0.3160 0.3393  1 Pa 2.19, 1 In 2.21, 1 Sm 2.34
3 O 0.2538 0.6607 0.9767  1 Pa 2.19, 1 In 2.21, 1 Sm 2.34
4 O 0.7462 0.6607 0.6840  1 Pa 2.19, 1 In 2.21, 1 Sm 2.34
5 O 0.7462 0.3160 0.9767  1 Pa 2.19, 1 In 2.21, 1 Sm 2.34
6 In 0.5000 0.0000 0.0000  6 O 2.21
7 Pa 0.0000 0.3333 0.6667  6 O 2.19
8 O 0.2538 0.0233 0.6840  1 Pa 2.19, 1 In 2.21, 1 Sm 2.34
9 Sm 0.5000 0.6667 0.3333  6 O 2.34

***

This record from the Alexandria database describes a relaxed CaTl2Pd3 crystal. The functional is PBE.

Output
DOS(E_F)	0.5107	states/eV/atom
space-group type	P6_3/mmc
V	244.69	Å³/cell
E_form	-0.4223	eV/atom
magnetic moment	0.0	μB/cell

Cell: 4.7413 4.7413 12.5688 Å, 90.00 90.00 120.00°
Closest atoms and distances in Å follow each position.
Positions (direct):
1 Ca 0.0000 0.0000 0.2500  8 Pd 3.10-3.14, 6 Tl 3.37
2 Tl 0.3333 0.6667 0.9068  7 Pd 2.78-2.98
3 Tl 0.6667 0.3333 0.4068  7 Pd 2.78-2.98
4 Pd 0.6667 0.3333 0.8661  4 Tl 2.78-2.86, 1 Pd 2.92, 3 Ca 3.10
5 Tl 0.6667 0.3333 0.0932  7 Pd 2.78-2.98
6 Tl 0.3333 0.6667 0.5932  7 Pd 2.78-2.98
7 Pd 0.6667 0.3333 0.6339  4 Tl 2.78-2.86, 1 Pd 2.92, 3 Ca 3.10
8 Pd 0.3333 0.6667 0.1339  4 Tl 2.78-2.86, 1 Pd 2.92, 3 Ca 3.10
9 Pd 0.0000 0.0000 0.5000  6 Tl 2.98, 2 Ca 3.14, 6 Pd 3.21
10 Pd 0.0000 0.0000 0.0000  6 Tl 2.98, 2 Ca 3.14, 6 Pd 3.21
11 Ca 0.0000 0.0000 0.7500  8 Pd 3.10-3.14, 6 Tl 3.37
12 Pd 0.3333 0.6667 0.3661  4 Tl 2.78-2.86, 1 Pd 2.92, 3 Ca 3.10

***

This record from the Alexandria database describes a relaxed LaSmY2Er2 crystal. The functional is PBE.

Output
DOS(E_F)	1.6942	states/eV/atom
space-group type	Pnnm
V	403.22	Å³/cell
E_form	0.2687	eV/atom
magnetic moment	0.0	μB/cell

Cell: 3.4088 6.5571 18.0399 Å, 90.00 90.00 90.00°
Closest atoms and distances in Å follow each position.
Positions (direct):
1 Y 0.0000 0.2178 0.8112  4 Er 3.35-3.41, 2 Y 3.41, 1 La 3.69
2 Y 0.5000 0.7178 0.6888  4 Er 3.35-3.41, 2 Y 3.41, 1 La 3.69
3 La 0.5000 0.5000 0.5000  2 Er 3.25, 2 La 3.41
4 Er 0.0000 0.7160 0.8525  1 La 3.25, 4 Y 3.35-3.41, 2 Er 3.41, 2 Sm 3.46
5 Sm 0.0000 0.0000 0.5000  2 Sm 3.41, 4 Er 3.46, 4 La 3.70
6 Y 0.0000 0.7822 0.1888  4 Er 3.35-3.41, 2 Y 3.41, 1 La 3.69
7 Er 0.5000 0.7840 0.3525  1 La 3.25, 4 Y 3.35-3.41, 2 Er 3.41, 2 Sm 3.46
8 Sm 0.5000 0.5000 0.0000  2 Sm 3.41, 4 Er 3.46, 4 La 3.70
9 Y 0.5000 0.2822 0.3112  4 Er 3.35-3.41, 2 Y 3.41, 1 La 3.69
10 Er 0.0000 0.2840 0.1475  1 La 3.25, 4 Y 3.35-3.41, 2 Er 3.41, 2 Sm 3.46
11 Er 0.5000 0.2160 0.6475  1 La 3.25, 4 Y 3.35-3.41, 2 Er 3.41, 2 Sm 3.46
12 La 0.0000 0.0000 0.0000  2 Er 3.25, 2 La 3.41

***

This record from the Alexandria database describes a relaxed Pr3Ni crystal. The functional is PBE.

Output
DOS(E_F)	1.6636	states/eV/atom
space-group type	Imm2
V	119.41	Å³/cell
E_form	-0.0593	eV/atom
magnetic moment	0.0	μB/cell

Cell: 3.6884 6.0703 6.4074 Å, 118.27 106.73 90.00°
Closest atoms and distances in Å follow each position.
Positions (direct):
1 Pr 0.3089 0.6823 0.6177  2 Ni 2.91
2 Pr 0.6911 0.0645 0.3823  2 Ni 2.91
3 Ni 0.0000 0.0326 0.0000  6 Pr 2.84-2.91
4 Pr 0.5000 0.3873 0.0000  2 Ni 2.84

***

This record from the Alexandria database describes a relaxed PuTlHgGe crystal. The functional is PBE.

Output
DOS(E_F)	3.1035	states/eV/atom
space-group type	F-43m
V	99.25	Å³/cell
E_form	-0.0355	eV/atom
magnetic moment	5.7	μB/cell

Cell: 5.1969 5.1969 5.1969 Å, 60.00 60.00 60.00°
Closest atoms and distances in Å follow each position.
Positions (direct):
1 Pu 0.0000 0.0000 0.0000  4 Ge 3.18, 4 Hg 3.18
2 Tl 0.5000 0.5000 0.5000  4 Ge 3.18, 4 Hg 3.18
3 Hg 0.7500 0.7500 0.7500  4 Tl 3.18, 4 Pu 3.18
4 Ge 0.2500 0.2500 0.2500  4 Tl 3.18, 4 Pu 3.18

***

This record from the Alexandria database describes a relaxed Tl2ZnCl crystal. The functional is PBE.

Output
raw formation energy	-0.31	eV/atom
DOS(E_F)	0.5219	states/eV/atom
ΔE to the lowest computed polymorph	0.00	kcal/mol of atoms
space-group type	Pmm2
V	117.58	Å³/cell
magnetic moment	0.0	μB/cell

Cell: 4.3511 4.4008 6.1406 Å, 90.00 90.00 90.00°
Closest atoms and distances in Å follow each position.
Positions (direct):
1 Zn 0.0000 0.0000 0.3752  6 Tl 3.07-3.09
2 Cl 0.5000 0.5000 0.8745  6 Tl 3.07-3.09
3 Tl 0.5000 0.5000 0.3747  2 Cl 3.07, 4 Zn 3.09
4 Tl 0.0000 0.0000 0.8755  2 Zn 3.07, 4 Cl 3.09

***

This record from the Alexandria database describes a relaxed EuHoGaRu crystal. The functional is PBE.

Output
DOS(E_F)	1.0538	states/eV/atom
space-group type	F-43m
V	87.65	Å³/cell
E_form	-0.2308	eV/atom
magnetic moment	6.6	μB/cell

Cell: 4.9860 4.9860 4.9860 Å, 60.00 60.00 60.00°
Closest atoms and distances in Å follow each position.
Positions (direct):
1 Eu 0.0000 0.0000 0.0000  4 Ga 3.05, 4 Ru 3.05
2 Ho 0.5000 0.5000 0.5000  4 Ru 3.05, 4 Ga 3.05
3 Ru 0.7500 0.7500 0.7500  4 Ho 3.05, 4 Eu 3.05
4 Ga 0.2500 0.2500 0.2500  4 Ho 3.05, 4 Eu 3.05

***

This record from the Alexandria database describes a relaxed ZrPaAs crystal. The functional is PBE.

Output
DOS(E_F)	1.9647	states/eV/atom
ΔE to the lowest computed polymorph	4.51	kcal/mol of atoms
space-group type	P-6m2
V	68.28	Å³/cell
E_form	-0.2944	eV/atom
magnetic moment	0.8	μB/cell

Cell: 3.5562 4.7085 4.7085 Å, 120.00 90.00 90.00°
Closest atoms and distances in Å follow each position.
Positions (direct):
1 Zr 0.1667 0.3333 0.6667  3 As 2.72
2 Pa 0.6666 0.6667 0.3333  6 Zr 3.25, 6 As 3.25, 2 Pa 3.56
3 As 0.1667 0.0000 0.0000  3 Zr 2.72

***

This record from the Alexandria database describes a relaxed BeCo2Tc crystal. The functional is PBE.

Output
DOS(E_F)	1.0543	states/eV/atom
ΔE to the lowest computed polymorph	4.74	kcal/mol of atoms
space-group type	Pm
V	44.15	Å³/cell
E_form	0.0377	eV/atom
magnetic moment	1.6	μB/cell

Cell: 3.7695 2.5352 4.7895 Å, 74.71 90.00 90.00°
Closest atoms and distances in Å follow each position.
Positions (direct):
1 Co 0.5000 0.1947 0.2335  3 Be 2.42-2.55, 6 Co 2.53-2.54, 4 Tc 2.62
2 Be 0.5000 0.9376 0.7563  3 Co 2.18-2.42
3 Co 0.0000 0.8135 0.9929  2 Be 2.18, 1 Tc 2.42
4 Tc 0.0000 0.5542 0.5172  7 Co 2.42-2.62, 4 Be 2.52-2.53, 2 Tc 2.54

***

This record from the Alexandria database describes a relaxed KCrTe2 crystal. The functional is PBE.

Output
raw formation energy	-0.06	eV/atom
DOS(E_F)	0.2558	states/eV/atom
space-group type	C2/m
V	112.21	Å³/cell
magnetic moment	4.4	μB/cell

Cell: 5.8772 8.9106 3.2485 Å, 68.79 89.88 131.15°
Closest atoms and distances in Å follow each position.
Positions (direct):
1 Cr 0.5000 0.5000 0.0000  2 Cr 3.25, 8 Te 3.35-3.36
2 K 0.5000 0.0000 0.5000  2 K 3.25, 8 Te 3.35-3.36
3 Te 0.0000 0.5000 0.5000  2 Te 3.25, 4 Cr 3.35-3.36, 4 K 3.35-3.36
4 Te 0.0000 0.0000 0.0000  2 Te 3.25, 4 K 3.35-3.36, 4 Cr 3.35-3.36

***

This record from the Alexandria database describes a relaxed BaRe3Rh crystal. The functional is PBE.

Output
DOS(E_F)	1.5484	states/eV/atom
ΔE to the lowest computed polymorph	50.02	kcal/mol of atoms
space-group type	Pm-3m
V	116.33	Å³/cell
E_form	4.0706	eV/atom
magnetic moment	0.0	μB/cell

Cell: 4.8816 4.8816 4.8816 Å, 90.00 90.00 90.00°
Closest atoms and distances in Å follow each position.
Positions (direct):
1 Rh 0.5000 0.5000 0.5000  12 Re 3.45
2 Re 0.0000 0.5000 0.0000  2 Ba 2.44
3 Ba 0.0000 0.0000 0.0000  6 Re 2.44
4 Re 0.0000 0.0000 0.5000  2 Ba 2.44
5 Re 0.5000 0.0000 0.0000  2 Ba 2.44

***

This record from the Alexandria database describes a relaxed TaAlZn2 crystal. The functional is PBE.

Output
DOS(E_F)	0.4973	states/eV/atom
space-group type	Pmm2
V	63.52	Å³/cell
E_form	0.0282	eV/atom
magnetic moment	0.0	μB/cell

Cell: 2.8542 3.7919 5.8686 Å, 90.00 90.00 90.00°
Closest atoms and distances in Å follow each position.
Positions (direct):
1 Zn 0.5000 0.5000 0.2440  6 Zn 2.73-2.85, 4 Al 2.79, 2 Ta 2.92-2.95
2 Al 0.0000 0.0000 0.4949  6 Zn 2.79-3.05, 4 Ta 2.79, 2 Al 2.85
3 Zn 0.0000 0.0000 0.0148  6 Zn 2.73-2.85, 2 Al 2.82-3.05, 4 Ta 2.85
4 Ta 0.5000 0.5000 0.7463  4 Al 2.79, 6 Zn 2.85-2.95, 2 Ta 2.85

***

This record from the Alexandria database describes a relaxed Cs2BC crystal. The functional is PBE.

Output
DOS(E_F)	1.5049	states/eV/atom
ΔE to the lowest computed polymorph	37.36	kcal/mol of atoms
space-group type	Fm-3m
V	132.38	Å³/cell
E_form	2.1514	eV/atom
magnetic moment	1.0	μB/cell

Cell: 5.7207 5.7207 5.7207 Å, 60.00 60.00 60.00°
Closest atoms and distances in Å follow each position.
Positions (direct):
1 Cs 0.7500 0.7500 0.7500  4 C 3.50, 4 B 3.50
2 B 0.0000 0.0000 0.0000  8 Cs 3.50
3 Cs 0.2500 0.2500 0.2500  4 B 3.50, 4 C 3.50
4 C 0.5000 0.5000 0.5000  8 Cs 3.50

***

This record from the Alexandria database describes a relaxed KIn2Ru crystal. The functional is PBE.

Output
DOS(E_F)	0.7533	states/eV/atom
ΔE to the lowest computed polymorph	6.92	kcal/mol of atoms
space-group type	I4_1/amd
V	323.69	Å³/cell
E_form	0.4031	eV/atom
magnetic moment	0.0	μB/cell

Cell: 6.3752 6.3752 9.1515 Å, 69.62 69.62 90.00°
Closest atoms and distances in Å follow each position.
Positions (direct):
1 In 0.8746 0.1250 0.2500  2 Ru 2.55
2 In 0.8754 0.6250 0.2500  2 Ru 2.55
3 K 0.2500 0.7500 0.5000  8 In 4.08, 4 Ru 4.51
4 K 0.5000 0.5000 0.0000  8 In 4.08, 4 Ru 4.51
5 In 0.8750 0.1246 0.7500  2 Ru 2.55
6 In 0.3750 0.1254 0.7500  2 Ru 2.55
7 Ru 0.7500 0.2500 0.5000  4 In 2.55
8 Ru 0.0000 0.0000 0.0000  4 In 2.55